Here is a geometry-optimized Zr2CuNi structure from Alexandria. Energies are from PBE.

The energy relative to the elements is -285 meV per atom. As for the symmetry: No. 11. The value obtained for the calculated density is 7.3 g/cm³. The value obtained for the total DFT energy (no corrections) is -0.517 Ry/atom. Its density of states at the Fermi level is 6.5 states/eV per cell.

Cell lengths 4.2101, 5.4698, 6.6594 Å; angles 115.09, 90.00, 90.00 degrees
Closest atoms and distances in Å follow each position.
Fractional coordinates of all 8 atoms:
Zr: 0.7500 0.1966 0.4164  4 Ni 2.71-2.84, 3 Cu 2.72-2.78
Zr: 0.2500 0.8034 0.5836  4 Ni 2.71-2.84, 3 Cu 2.72-2.78
Zr: 0.2500 0.7639 0.0825  3 Ni 2.58-2.80, 4 Cu 2.76-2.85
Zr: 0.7500 0.2361 0.9175  3 Ni 2.58-2.80, 4 Cu 2.76-2.85
Cu: 0.2500 0.3323 0.2105  2 Ni 2.61, 7 Zr 2.72-2.85
Cu: 0.7500 0.6677 0.7895  2 Ni 2.61, 7 Zr 2.72-2.85
Ni: 0.7500 0.6414 0.3018  7 Zr 2.58-2.84, 2 Cu 2.61
Ni: 0.2500 0.3586 0.6982  7 Zr 2.58-2.84, 2 Cu 2.61